A relaxed structure of TlFePO2. Source: the Alexandria database, functional GGA+U.

The value obtained for the energy above the lowest structure with this stoichiometry is 0.2429 eV per atom. The calculation puts the density of states at the Fermi level at 2.86 states/eV/cell. The calculation puts the size of the total moment at 1.0754 μB per atom. Its uncorrected energy is -23.5 eV per cell.

a = 3.7460 Å, b = 3.7460 Å, c = 8.0101 Å
α = 90.00°, β = 90.00°, γ = 90.00°
Last column: nearest neighbours and their distance in Å.
Positions (direct):
Tl (0.0000, 0.0000, 0.0000)  4 P 2.65
Fe (0.0000, 0.0000, 0.5000)  4 O 1.87
P (0.5000, 0.5000, 0.0000)  4 Tl 2.65
O (0.0000, 0.5000, 0.5000)  2 Fe 1.87
O (0.5000, 0.0000, 0.5000)  2 Fe 1.87